(1)
4
Lattice="4.873 0.000 0.000 2.437 4.220 0.000 2.437 1.407 3.979" Properties=species:S:1:pos:R:3 comment="Li2ScCl, optimized geometry, DFT PBE" relative_energy_kj_per_mol_atoms=58.9 formation_energy_uncorrected_kj_per_mol_atoms=-5.0 sg="F-43m (216)" pbc="T T T"
Li 0.000 0.000 0.000
Li 2.437 1.407 0.995
Sc 7.310 4.220 2.984
Cl 4.873 2.814 1.990

=====

(2)
4
Lattice="-4.268 -1.423 3.936 0.367 -2.607 -0.545 3.688 -1.197 3.567" Properties=species:S:1:pos:R:3 comment="K2MoOs, optimized geometry, DFT PBE" formation_energy_ev_per_atom=1.374 relative_energy_kj_per_mol_atoms=54.5 sg="P2/m (10)" pbc="T T T"
K 2.055 -1.967 1.517
K 4.028 -3.739 3.016
Mo -1.120 -1.662 2.723
Os 0.907 -3.564 4.235

=====

(3)
5
Lattice="5.085 0.000 0.000 0.000 5.085 0.000 0.000 0.000 5.085" Properties=species:S:1:pos:R:3 comment="HfSi3H, optimized geometry, DFT PBE" relative_energy_kj_per_mol_atoms=106.5 sg="Pm-3m (221)" pbc="T T T"
H 2.542 2.542 2.542
Si 0.000 2.542 0.000
Si 0.000 0.000 2.542
Si 2.542 0.000 0.000
Hf 0.000 0.000 0.000

=====

(4)
4
Lattice="5.116 0.000 0.000 2.558 4.431 0.000 2.558 1.477 4.177" Properties=species:S:1:pos:R:3 comment="PmLuAl2, optimized geometry, DFT PBE" formation_energy_ev_per_atom=-0.363 relative_energy_kj_per_mol_atoms=1.5 sg="Fm-3m (225)" pbc="T T T"
Al 2.558 1.477 1.044
Al 7.674 4.431 3.133
Pm 0.000 0.000 0.000
Lu 5.116 2.954 2.089

=====

(5)
4
Lattice="2.962 0.000 0.000 0.000 4.433 0.000 0.000 0.000 4.057" Properties=species:S:1:pos:R:3 comment="P2OsRu, optimized geometry, DFT PBE" formation_energy_ev_per_atom=-0.234 relative_energy_kj_per_mol_atoms=10.9 sg="Pmm2 (25)" pbc="T T T"
P 1.481 2.217 0.849
P 0.000 0.000 1.909
Ru 1.481 0.000 3.979
Os 0.000 2.217 2.856

=====

(6)
2
Lattice="4.808 0.000 0.000 2.404 4.164 0.000 2.404 1.388 3.926" Properties=species:S:1:pos:R:3 comment="AcCd, optimized geometry, DFT PBE" formation_energy_ev_per_atom=0.017 sg="Fm-3m (225)" pbc="T T T"
Cd 0.000 0.000 0.000
Ac 4.808 2.776 1.963

=====

(7)
10
Lattice="7.591 0.000 0.000 0.000 7.591 0.000 0.000 0.000 3.004" Properties=species:S:1:pos:R:3 comment="Co2Sb2Au, optimized geometry, DFT PBE" relative_energy_kj_per_mol_atoms=16.7 formation_energy_uncorrected_kj_per_mol_atoms=25.4 sg="P4/mbm (127)" pbc="T T T"
Au 0.000 0.000 0.000
Au 3.796 3.796 0.000
Sb 1.210 2.585 0.000
Sb 2.585 6.381 0.000
Sb 5.006 1.210 0.000
Sb 6.381 5.006 0.000
Co 4.791 6.596 1.502
Co 2.800 0.995 1.502
Co 0.995 4.791 1.502
Co 6.596 2.800 1.502

=====

(8)
6
Lattice="3.968 0.000 0.000 0.000 3.968 0.000 0.000 0.000 10.229" Properties=species:S:1:pos:R:3 comment="BaCdO, optimized geometry, DFT PBE" relative_energy_kj_per_mol_atoms=0.0 formation_energy_uncorrected_kj_per_mol_atoms=-139.8 sg="P4/nmm (129)" pbc="T T T"
O 1.984 0.000 3.969
O 0.000 1.984 6.260
Ba 0.000 1.984 3.726
Ba 1.984 0.000 6.502
Cd 1.984 1.984 0.000
Cd 0.000 0.000 0.000

=====

(9)
5
Lattice="-0.199 6.557 -2.042 -4.395 -1.691 -5.002 -4.351 0.958 3.500" Properties=species:S:1:pos:R:3 comment="CsK2LiCd, optimized geometry, DFT PBE" formation_energy_ev_per_atom=0.086 relative_energy_kj_per_mol_atoms=1.5 sg="P4/mmm (123)" pbc="T T T"
Li 0.000 0.000 0.000
K -2.198 -0.845 -2.501
K -0.099 3.278 -1.021
Cd -2.176 0.479 1.750
Cs -4.473 2.912 -1.772

=====

(10)
4
Lattice="4.816 0.000 0.000 2.408 4.171 0.000 2.408 1.390 3.932" Properties=species:S:1:pos:R:3 comment="Pa2MnRe, optimized geometry, DFT PBE" formation_energy_ev_per_atom=0.124 relative_energy_kj_per_mol_atoms=2.1 sg="Fm-3m (225)" pbc="T T T"
Re 4.816 2.781 1.966
Mn 0.000 0.000 0.000
Pa 7.224 4.171 2.949
Pa 2.408 1.390 0.983

=====

(11)
8
Lattice="-2.390 4.099 1.164 -3.370 -1.001 -3.393 -5.318 -5.022 6.766" Properties=species:S:1:pos:R:3 comment="NdEr6In, optimized geometry, DFT PBE" formation_energy_ev_per_atom=-0.103 relative_energy_kj_per_mol_atoms=0.0 sg="P4/mmm (123)" pbc="T T T"
Er -2.482 0.835 2.219
Er -2.880 1.549 -1.114
Er -5.227 -1.758 5.711
Er -5.717 -4.308 3.433
Er -5.539 -0.962 2.269
Er -2.972 -1.716 -0.060
Nd -2.659 -2.511 3.383
In 0.000 0.000 0.000

=====

(12)
4
Lattice="-0.750 0.160 3.544 -1.963 -2.621 1.558 6.131 -5.091 3.383" Properties=species:S:1:pos:R:3 comment="ErVCl2, optimized geometry, DFT PBE" formation_energy_uncorrected_kj_per_mol_atoms=-54.0 sg="R-3m (166)" pbc="T T T"
V 1.709 -3.776 4.243
Cl 3.788 -3.668 2.823
Cl -0.370 -3.883 5.663
Er 0.000 0.000 0.000

=====

(13)
3
Lattice="3.002 0.000 0.000 0.000 4.174 0.000 0.000 -2.087 3.615" Properties=species:S:1:pos:R:3 comment="GePdRh, optimized geometry, DFT PBE" formation_energy_ev_per_atom=-0.348 sg="P3m1 (156)" pbc="T T T"
Ge 2.065 0.000 2.410
Pd 1.182 2.087 1.205
Rh 2.757 0.000 0.000

=====

(14)
7
Lattice="5.535 0.000 0.000 0.000 5.535 0.000 2.767 2.767 6.653" Properties=species:S:1:pos:R:3 comment="Mg4Ge2Sb, optimized geometry, DFT PBE" formation_energy_uncorrected_kj_per_mol_atoms=26.6 sg="I4/mmm (139)" pbc="T T T"
Ge 5.535 5.535 5.426
Ge 2.767 2.767 1.227
Mg 5.535 5.535 2.793
Mg 0.000 2.767 0.000
Mg 2.767 0.000 0.000
Mg 2.767 2.767 3.860
Sb 0.000 0.000 0.000

=====

(15)
18
Lattice="4.039 0.000 0.000 0.000 7.664 0.000 0.000 0.000 13.211" Properties=species:S:1:pos:R:3 comment="PuCdPt, optimized geometry, DFT PBE" formation_energy_ev_per_atom=-0.542 sg="Pmma (51)" pbc="T T T"
Cd 2.019 4.260 8.100
Cd 2.019 4.260 11.716
Cd 2.019 1.465 9.908
Cd 2.019 3.404 5.111
Cd 2.019 6.199 3.303
Cd 2.019 3.404 1.494
Pu 0.000 6.392 9.908
Pu 0.000 1.272 3.303
Pu 0.000 5.971 5.967
Pu 0.000 5.971 0.639
Pu 0.000 1.693 12.572
Pu 0.000 1.693 7.244
Pt 2.019 7.114 11.919
Pt 0.000 4.271 3.303
Pt 2.019 7.114 7.897
Pt 2.019 0.550 1.292
Pt 2.019 0.550 5.314
Pt 0.000 3.393 9.908

=====

(16)
10
Lattice="3.718 0.000 0.000 0.000 3.718 0.000 0.000 0.000 18.645" Properties=species:S:1:pos:R:3 comment="Pr4ErAl5, optimized geometry, DFT PBE" formation_energy_ev_per_atom=-0.350 sg="P4/mmm (123)" pbc="T T T"
Pr 0.000 0.000 11.230
Pr 0.000 0.000 7.416
Pr 0.000 0.000 3.597
Pr 0.000 0.000 15.049
Al 1.859 1.859 5.510
Al 1.859 1.859 9.323
Al 1.859 1.859 13.135
Al 1.859 1.859 1.635
Al 1.859 1.859 17.011
Er 0.000 0.000 0.000

=====

(17)
2
Lattice="3.580 0.000 0.000 1.790 3.101 0.000 1.790 1.034 2.923" Properties=species:S:1:pos:R:3 comment="RuRh, optimized geometry, DFT PBE" formation_energy_ev_per_atom=1.017 sg="Fm-3m (225)" pbc="T T T"
Ru 3.580 2.067 1.462
Rh 0.000 0.000 0.000

=====

(18)
4
Lattice="-1.920 -4.241 -0.143 1.314 -3.256 3.060 -2.924 -1.348 3.366" Properties=species:S:1:pos:R:3 comment="KMo2Pt, optimized geometry, DFT PBE" formation_energy_ev_per_atom=1.111 relative_energy_kj_per_mol_atoms=68.2 sg="F-43m (216)" pbc="T T T"
Pt -2.647 -6.633 4.712
Mo -0.882 -2.211 1.571
Mo 0.000 0.000 0.000
K -1.765 -4.422 3.141

=====

(19)
5
Lattice="-3.729 -1.000 -0.655 0.898 -0.928 -3.697 0.788 -3.671 1.113" Properties=species:S:1:pos:R:3 comment="ReHOs3, optimized geometry, DFT PBE" relative_energy_kj_per_mol_atoms=0.0 sg="Pm-3m (221)" pbc="T T T"
Os -1.864 -0.500 -0.328
Os 0.394 -1.835 0.556
Os 0.449 -0.464 -1.848
Re -1.021 -2.799 -1.620
H 0.000 0.000 0.000

=====

(20)
13
Lattice="9.784 -0.001 -5.279 -6.315 9.149 -0.001 -2.371 -1.636 7.312" Properties=species:S:1:pos:R:3 comment="Pr4Y8Tm, optimized geometry, DFT PBE" formation_energy_ev_per_atom=0.515 sg="Pm-3m (221)" pbc="T T T"
Y 2.623 1.811 -0.783
Y -6.592 5.701 5.549
Y 4.419 6.548 -3.516
Y -1.526 5.701 2.816
Y -0.381 6.491 -0.708
Y 7.689 1.810 -3.516
Y -3.322 0.964 5.549
Y 1.479 1.021 2.741
Pr 0.000 0.000 0.000
Pr -5.529 2.938 7.312
Pr 4.892 0.000 -2.639
Pr 1.734 4.574 -2.640
Tm -4.343 3.756 3.656

=====

Number 1: VASP energy -3.05 eV/atom. Number 2: VASP energy -4.69 eV/atom. Number 3: VASP energy -4.68 eV/atom. Number 4: VASP energy -4.55 eV/atom. Number 5: VASP energy -8.07 eV/atom. Number 6: VASP energy -2.49 eV/atom. Number 7: VASP energy -4.88 eV/atom. Number 8: VASP energy -4.05 eV/atom. Number 9: VASP energy -1.09 eV/atom. Number 10: VASP energy -10.03 eV/atom. Number 11: VASP energy -4.46 eV/atom. Number 12: VASP energy -4.90 eV/atom. Number 13: VASP energy -6.07 eV/atom. Number 14: VASP energy -2.54 eV/atom. Number 15: VASP energy -7.64 eV/atom. Number 16: VASP energy -4.59 eV/atom. Number 17: VASP energy -7.30 eV/atom. Number 18: VASP energy -6.09 eV/atom. Number 19: VASP energy -9.70 eV/atom. Number 20: VASP energy -5.28 eV/atom.